SrInIrPt2 | meta-GGA SCAN | single point on PBEsol structure

Cell: 4.9953 4.9953 4.9032 Å, 90.00 90.00 90.00°
Closest atoms and distances in Å follow each position.
Space group P4/mmm (No. 123)
Inequivalent atoms, fractional coordinates:
Sr 0.0000 0.0000 0.0000 [1 per cell]  8 Pt 3.50, 4 In 3.53
In 0.5000 0.5000 0.0000 [1 per cell]  2 Ir 2.45
Ir 0.5000 0.5000 0.5000 [1 per cell]  2 In 2.45, 4 Pt 2.50
Pt 0.0000 0.5000 0.5000 [2 per cell]  2 Ir 2.50

formation energy: 0.038 eV per atom
V: 24.47 Å³ per atom
E: -266.96 eV/cell

---

CrRuPt2Pb | meta-GGA SCAN | single point on PBEsol structure

Cell: 4.9323 4.9323 4.9111 Å, 90.00 90.00 90.00°
Closest atoms and distances in Å follow each position.
Space group P4/mmm (No. 123)
Inequivalent atoms, fractional coordinates:
Cr 0.0000 0.0000 0.0000 [1 per cell]  2 Pb 2.46
Ru 0.5000 0.5000 0.0000 [1 per cell]  8 Pt 3.48, 4 Cr 3.49
Pt 0.0000 0.5000 0.5000 [2 per cell]  2 Pb 2.47
Pb 0.0000 0.0000 0.5000 [1 per cell]  2 Cr 2.46, 4 Pt 2.47

formation energy: 1.783 eV per atom
V: 23.90 Å³ per atom
E: -260.46 eV/cell

---

Al3CdHg | meta-GGA SCAN | single point on PBEsol structure

Cell: 5.0215 5.0215 5.0215 Å, 90.00 90.00 90.00°
Closest atoms and distances in Å follow each position.
Space group Pm-3m (No. 221)
Inequivalent atoms, fractional coordinates:
Al 0.0000 0.0000 0.5000 [3 per cell]  2 Hg 2.51
Cd 0.5000 0.5000 0.5000 [1 per cell]  12 Al 3.55
Hg 0.0000 0.0000 0.0000 [1 per cell]  6 Al 2.51

formation energy: 0.601 eV per atom
V: 25.32 Å³ per atom
E: -118.83 eV/cell

---

BeCoRu2 | meta-GGA SCAN | single point on PBEsol structure

Cell: 4.0637 4.0637 2.7386 Å, 90.00 90.00 90.00°
Closest atoms and distances in Å follow each position.
Space group P4/mmm (No. 123)
Inequivalent atoms, fractional coordinates:
Be 0.0000 0.0000 0.0000 [1 per cell]  8 Ru 2.45, 2 Be 2.74
Co 0.5000 0.5000 0.0000 [1 per cell]  8 Ru 2.45, 2 Co 2.74
Ru 0.0000 0.5000 0.5000 [2 per cell]  4 Co 2.45, 4 Be 2.45, 2 Ru 2.74

formation energy: -0.027 eV per atom
V: 11.31 Å³ per atom
E: -91.42 eV/cell

---

BaLaBe2 | meta-GGA SCAN | single point on PBEsol structure

Cell: 4.0368 3.6052 14.9928 Å, 90.00 90.00 90.00°
Closest atoms and distances in Å follow each position.
Space group Amm2 (No. 38)
Inequivalent atoms, fractional coordinates:
Ba 0.0000 0.0000 0.0000 [2 per cell]  6 Be 3.24-3.33, 2 Ba 3.61
La 0.5000 0.0000 0.7250 [2 per cell]  6 Be 2.83-3.06
Be 0.0000 0.0000 0.3205 [2 per cell]  2 Be 2.15
Be 0.5000 0.0000 0.3703 [2 per cell]  2 Be 2.15

formation energy: 0.300 eV per atom
V: 27.28 Å³ per atom
E: -180.32 eV/cell

---

Ti3MnNb | meta-GGA SCAN | single point on PBEsol structure

Cell: 4.6755 4.6755 4.6755 Å, 90.00 90.00 90.00°
Closest atoms and distances in Å follow each position.
Space group Pm-3m (No. 221)
Inequivalent atoms, fractional coordinates:
Ti 0.0000 0.0000 0.5000 [3 per cell]  2 Nb 2.34
Mn 0.5000 0.5000 0.5000 [1 per cell]  12 Ti 3.31
Nb 0.0000 0.0000 0.0000 [1 per cell]  6 Ti 2.34

formation energy: 0.979 eV per atom
V: 20.44 Å³ per atom
E: -94.58 eV/cell

---

- Which of these has the lowest formation energy?
  BeCoRu2